No. 1
Entry from Alexandria via LeMat-Bulk: Sn2AsCl after structural relaxation (PBE-GGA).

Cell and atoms, written as POSCAR:
```
Sn2AsCl
1.0
4.2617 0.0000 0.0000
2.1309 3.6908 0.0000
2.1309 1.2303 7.1028
Cl As Sn
1 1 2
Cartesian
4.2617 2.4605 3.5514
0.0000 0.0000 0.0000
2.1309 1.2303 1.5609
6.3926 3.6908 5.5419
```

## Properties
E_form (uncorrected) ... -0.35 eV per atom
Space-group type ... No. 166
V ... 27.93 Å³/atom
Fermi-level density of states ... 0.45 states/eV/f.u.

=====

No. 2
Entry from Alexandria via LeMat-Bulk: Nd6Pt2CI3 after structural relaxation (PBE-GGA).

Cell and atoms, written as POSCAR:
```
Nd6Pt2CI3
1.0
7.2088 0.0096 0.0096
-3.5944 6.2488 0.0096
-1.1959 -2.0706 7.9343
Pt Nd I C
2 6 3 1
Cartesian
0.0104 4.1669 0.0096
3.6040 2.0915 0.0096
-1.0958 1.9073 1.4452
2.5092 4.3446 1.4726
2.1997 0.0040 1.4452
3.5144 2.2805 6.5083
0.2189 4.1838 6.5083
-0.0906 -0.1569 6.4809
4.7986 0.0209 3.9768
1.2093 2.0939 3.9768
-2.3800 4.1668 3.9768
0.0000 0.0000 0.0000
```

## Properties
E_form (uncorrected) ... -0.92 eV per atom
Space-group type ... No. 12
V ... 29.83 Å³/atom
Fermi-level density of states ... 7.67 states/eV/f.u.

=====

No. 3
Entry from Alexandria via LeMat-Bulk: CdPAu after structural relaxation (PBE-GGA).

Cell and atoms, written as POSCAR:
```
CdPAu
1.0
4.4812 5.7891 1.7133
-6.3198 -1.1472 3.9083
1.8164 -2.0934 2.3227
Au P Cd
3 3 3
Cartesian
1.7891 2.4303 3.6063
-1.8113 0.1182 4.3379
0.0000 0.0000 0.0000
-4.0029 -0.7266 2.4755
-0.6740 1.7017 2.0609
2.8384 3.6668 1.0852
-0.8817 -1.3716 2.2683
2.1774 0.5929 1.6466
-0.4097 2.2805 5.1907
```

## Properties
Space-group type ... No. 189
V ... 19.67 Å³/atom
Fermi-level density of states ... 0.86 states/eV/f.u.
Formation energy ... 0.9 eV/f.u.

=====

No. 4
Entry from Alexandria via LeMat-Bulk: Ca2MgSe after structural relaxation (PBE-GGA).

Cell and atoms, written as POSCAR:
```
Ca2MgSe
1.0
5.4655 0.0000 0.0000
2.7328 4.7333 0.0000
2.7328 1.5778 4.4626
Se Ca Mg
1 2 1
Cartesian
8.1983 4.7333 3.3469
0.0000 0.0000 0.0000
2.7328 1.5778 1.1156
5.4655 3.1555 2.2313
```

## Properties
E_form (uncorrected) ... -0.22 eV per atom
Space-group type ... No. 216
V ... 28.86 Å³/atom
Fermi-level density of states ... 2.48 states/eV/f.u.

=====

No. 5
Entry from Alexandria via LeMat-Bulk: ReIr5Ru4 after structural relaxation (PBE-GGA).

Cell and atoms, written as POSCAR:
```
ReIr5Ru4
1.0
-1.1925 3.0226 -2.1264
-5.2583 0.7013 3.9459
6.3641 1.8555 2.6143
Ru Ir Re
4 5 1
Cartesian
3.7338 4.8778 1.2939
3.3879 2.2603 1.3130
-3.8206 0.7015 3.1399
-3.4747 3.3191 3.1208
0.8271 1.3138 1.4038
3.1387 3.7174 3.5241
1.2371 3.9986 1.4443
-1.3239 1.5807 2.9895
-0.9139 4.2655 3.0300
5.7678 3.3668 1.5511
```

## Properties
Space-group type ... No. 12
V ... 15.42 Å³/atom
Fermi-level density of states ... 11.99 states/eV/f.u.
Formation energy ... 3.7 eV/f.u.

=====

No. 6
Entry from Alexandria via LeMat-Bulk: Co2AgOs after structural relaxation (PBE-GGA).

Cell and atoms, written as POSCAR:
```
Co2AgOs
1.0
-2.9933 -0.1719 -3.4850
-1.4230 -3.1623 3.0182
-1.4941 1.8122 1.1941
Co Os Ag
2 1 1
Cartesian
-2.2081 -1.6671 -0.2334
0.0000 0.0000 0.0000
-2.2437 0.8202 -1.1454
-1.4585 -0.6750 2.1061
```

## Properties
Space-group type ... No. 65
V ... 13.40 Å³/atom
Fermi-level density of states ... 4.07 states/eV/f.u.
Formation energy ... 1.8 eV/f.u.